A plane-wave DFT calculation with PBE was carried out for a relaxed structure of NpBPt.

Lattice parameters (Å, degrees): 6.1507 6.1507 6.1507 90.00 90.00 90.00
Fractional positions:
Np: 0.0000 0.0000 0.0000
Np: 0.0000 0.5000 0.5000
Np: 0.5000 0.0000 0.5000
Np: 0.5000 0.5000 0.0000
B: 0.2500 0.2500 0.7500
B: 0.2500 0.7500 0.2500
B: 0.7500 0.2500 0.2500
B: 0.7500 0.7500 0.7500
Pt: 0.2500 0.2500 0.2500
Pt: 0.2500 0.7500 0.7500
Pt: 0.7500 0.2500 0.7500
Pt: 0.7500 0.7500 0.2500

Results
The symmetry is F-43m. As for the distance to the lowest polymorph of the same formula: 757.1 meV per atom. The total DFT energy (no corrections) is -92.679 eV/cell.